No. 1
# TaTlGeSb2

An optimized crystal structure of TaTlGeSb2 (PBE, Alexandria).

symmetry = P4/mmm

a b c (Å): 5.428 5.073 5.428
angles (deg): 90.00 90.00 90.00
Fractional coordinates of all 5 atoms:
Ta  0.000  0.000  0.000
Ge  0.000  0.500  0.000
Sb  0.000  0.000  0.500
Tl  0.500  0.500  0.500
Sb  0.500  0.000  0.000

=====

No. 2
# TbGeSb2

An optimized crystal structure of TbGeSb2 (PBE, Alexandria).

symmetry = R-3m
relative energy among the computed polymorphs = 482 meV per atom

a b c (Å): 4.736 4.736 8.541
angles (deg): 73.90 73.90 60.00
Fractional coordinates of all 4 atoms:
Ge  0.000  0.000  0.000
Sb  0.105  0.105  0.684
Tb  0.500  0.500  0.500
Sb  0.895  0.895  0.316

=====

No. 3
# Tb7Ge2Sb2

An optimized crystal structure of Tb7Ge2Sb2 (PBE, Alexandria).

symmetry = Cmmm

a b c (Å): 6.931 7.161 6.931
angles (deg): 90.00 101.61 90.00
Fractional coordinates of all 11 atoms:
Tb  0.500  0.269  0.500
Tb  0.000  0.000  0.000
Sb  0.720  0.000  0.280
Tb  0.500  0.283  0.000
Tb  0.000  0.717  0.500
Tb  0.000  0.283  0.500
Ge  0.795  0.500  0.795
Sb  0.280  0.000  0.720
Ge  0.205  0.500  0.205
Tb  0.500  0.717  0.000
Tb  0.500  0.731  0.500

=====

No. 4
# TbGeSb2

An optimized crystal structure of TbGeSb2 (PBE, Alexandria).

symmetry = P4/mmm
relative energy among the computed polymorphs = 0 meV per atom

a b c (Å): 4.297 4.841 4.841
angles (deg): 90.00 90.00 90.00
Fractional coordinates of all 4 atoms:
Sb  0.000  0.500  0.000
Ge  0.500  0.000  0.000
Tb  0.500  0.500  0.500
Sb  0.000  0.000  0.500

=====

No. 5
# Tb4Ge2Sb

An optimized crystal structure of Tb4Ge2Sb (PBE, Alexandria).

symmetry = I-42d

a b c (Å): 7.803 7.803 7.803
angles (deg): 109.03 109.03 110.35
Fractional coordinates of all 14 atoms:
Tb  0.741  0.996  0.607
Tb  0.866  0.259  0.255
Tb  0.389  0.134  0.393
Sb  0.000  0.000  0.000
Tb  0.861  0.754  0.245
Ge  0.494  0.875  0.119
Tb  0.509  0.616  0.755
Ge  0.756  0.375  0.881
Ge  0.125  0.244  0.619
Tb  0.246  0.491  0.107
Tb  0.384  0.139  0.893
Sb  0.250  0.750  0.500
Ge  0.625  0.506  0.381
Tb  0.004  0.611  0.745

=====

No. 6
# TbGe2Sb

An optimized crystal structure of TbGe2Sb (PBE, Alexandria).

symmetry = P4/mmm

a b c (Å): 4.382 4.546 4.546
angles (deg): 90.00 90.00 90.00
Fractional coordinates of all 4 atoms:
Sb  0.500  0.500  0.500
Ge  0.000  0.000  0.500
Ge  0.000  0.500  0.000
Tb  0.500  0.000  0.000

=====

| no. | ΔE_f (raw) (meV per atom) |
| --- | --- |
| 1 | 262 |
| 2 | 108 |
| 3 | -363 |
| 4 | -374 |
| 5 | -902 |
| 6 | -371 |